## Ta2NbAu (PBE)

Data for crystalline Ta2NbAu at its relaxed geometry.

ΔH_f (0 K)   -0.05 eV per atom
Energy   -9.3122 eV/atom
V   18.1 Å³/atom

Geometry as CIF:
```
data_Ta2NbAu
_symmetry_space_group_name_H-M 'P 4/m m m'
_symmetry_Int_Tables_number 123
_symmetry_space_group_name_Hall '-P 4 2'
_cell_length_a 3.397
_cell_length_b 3.397
_cell_length_c 6.272
_cell_angle_alpha 90.00
_cell_angle_beta 90.00
_cell_angle_gamma 90.00
loop_
_atom_site_label
_atom_site_type_symbol
_atom_site_fract_x
_atom_site_fract_y
_atom_site_fract_z
Ta1 Ta 0.000 0.000 0.238
Nb1 Nb 0.500 0.500 0.000
Au1 Au 0.500 0.500 0.500
```

***

## TaNb2Au (PBE)

Data for crystalline TaNb2Au at its relaxed geometry.

ΔH_f (0 K)   -0.06 eV per atom
Energy   -8.8805 eV/atom
Energy above the most stable polymorph in this dataset   35 meV/atom
V   18.1 Å³/atom

Geometry as CIF:
```
data_TaNb2Au
_symmetry_space_group_name_H-M 'P 4/m m m'
_symmetry_Int_Tables_number 123
_symmetry_space_group_name_Hall '-P 4 2'
_cell_length_a 3.413
_cell_length_b 3.413
_cell_length_c 6.231
_cell_angle_alpha 90.00
_cell_angle_beta 90.00
_cell_angle_gamma 90.00
loop_
_atom_site_label
_atom_site_type_symbol
_atom_site_fract_x
_atom_site_fract_y
_atom_site_fract_z
Ta1 Ta 0.000 0.000 0.000
Nb1 Nb 0.500 0.500 0.239
Au1 Au 0.000 0.000 0.500
```

***

## TaNb2Au (PBE)

Data for crystalline TaNb2Au at its relaxed geometry.

ΔH_f (0 K)   -0.10 eV per atom
Energy   -8.9154 eV/atom
Energy above the most stable polymorph in this dataset   0 meV/atom
V   18.0 Å³/atom

Geometry as CIF:
```
data_TaNb2Au
_symmetry_space_group_name_H-M 'C m m m'
_symmetry_Int_Tables_number 65
_symmetry_space_group_name_Hall '-C 2 2'
_cell_length_a 3.521
_cell_length_b 4.422
_cell_length_c 9.274
_cell_angle_alpha 90.00
_cell_angle_beta 90.00
_cell_angle_gamma 90.00
loop_
_atom_site_label
_atom_site_type_symbol
_atom_site_fract_x
_atom_site_fract_y
_atom_site_fract_z
Ta1 Ta 0.000 0.000 0.000
Nb1 Nb 0.000 0.500 0.250
Au1 Au 0.000 0.000 0.500
```

***

Copy entry 1 word for word.
## Ta2NbAu (PBE)

Data for crystalline Ta2NbAu at its relaxed geometry.

ΔH_f (0 K)   -0.05 eV per atom
Energy   -9.3122 eV/atom
V   18.1 Å³/atom

Geometry as CIF:
```
data_Ta2NbAu
_symmetry_space_group_name_H-M 'P 4/m m m'
_symmetry_Int_Tables_number 123
_symmetry_space_group_name_Hall '-P 4 2'
_cell_length_a 3.397
_cell_length_b 3.397
_cell_length_c 6.272
_cell_angle_alpha 90.00
_cell_angle_beta 90.00
_cell_angle_gamma 90.00
loop_
_atom_site_label
_atom_site_type_symbol
_atom_site_fract_x
_atom_site_fract_y
_atom_site_fract_z
Ta1 Ta 0.000 0.000 0.238
Nb1 Nb 0.500 0.500 0.000
Au1 Au 0.500 0.500 0.500
```

***

- The highest ΔH_f (0 K) belongs to which entry?
  Ta2NbAu